# NaCeBi2, optimized geometry, DFT GGA-PBE
# energy above the lowest structure with this stoichiometry = 18.0 meV per atom
# electronic total energy = -4.25 eV/atom
# total magnetization = 1.0 μB/cell
# crystal system = tetragonal
# ρ = 8.050 g/cm3
# calculated formation energy = -1.99 eV/f.u.
data_NaCeBi2
_cell_length_a 5.869
_cell_length_b 5.869
_cell_length_c 3.479
_cell_angle_alpha 90.00
_cell_angle_beta 90.00
_cell_angle_gamma 90.00
_space_group_name_H-M_alt 'P 4/m m m'
_space_group_IT_number 123
_space_group_name_Hall '-P 4 2'
loop_
_atom_site_label
_atom_site_fract_x
_atom_site_fract_y
_atom_site_fract_z
Na1 0.000 0.000 0.000
Ce1 0.500 0.500 0.000
Bi1 0.000 0.500 0.500